# 1
{"formula": "ZrFeCoTc", "functional": "GGA-PBE", "state": "optimized geometry", "delta_e_f_ev_per_fu": -0.007, "lattice": [[6.165, 0.000, 0.000], [0.000, 6.165, 0.000], [0.000, 0.000, 6.165]], "species": ["Zr", "Zr", "Zr", "Zr", "Fe", "Fe", "Fe", "Fe", "Co", "Co", "Co", "Co", "Tc", "Tc", "Tc", "Tc"], "fractional_positions": [[0.000, 0.000, 0.000], [0.000, 0.500, 0.500], [0.500, 0.000, 0.500], [0.500, 0.500, 0.000], [0.250, 0.250, 0.250], [0.250, 0.750, 0.750], [0.750, 0.250, 0.750], [0.750, 0.750, 0.250], [0.250, 0.250, 0.750], [0.250, 0.750, 0.250], [0.750, 0.250, 0.250], [0.750, 0.750, 0.750], [0.000, 0.000, 0.500], [0.000, 0.500, 0.000], [0.500, 0.000, 0.000], [0.500, 0.500, 0.500]]}

***

# 2
{"formula": "CdCuPt3", "functional": "GGA-PBE", "state": "optimized geometry", "delta_e_f_ev_per_fu": 3.287, "polymorph_energy_mev_per_atom": 838, "lattice": [[4.602, 0.000, 0.000], [0.000, 4.602, 0.000], [0.000, 0.000, 4.602]], "species": ["Cd", "Cu", "Pt", "Pt", "Pt"], "fractional_positions": [[0.000, 0.000, 0.000], [0.500, 0.500, 0.500], [0.000, 0.500, 0.500], [0.500, 0.000, 0.500], [0.500, 0.500, 0.000]]}

***

# 3
{"formula": "YTaIr", "functional": "GGA-PBE", "state": "optimized geometry", "delta_e_f_ev_per_fu": -1.482, "polymorph_energy_mev_per_atom": 83, "lattice": [[4.262, 0.000, 0.000], [0.000, 10.905, 0.000], [0.000, 0.000, 5.578]], "species": ["Y", "Y", "Y", "Y", "Ta", "Ta", "Ta", "Ta", "Ir", "Ir", "Ir", "Ir"], "fractional_positions": [[0.000, 0.211, 0.250], [0.000, 0.789, 0.750], [0.500, 0.289, 0.750], [0.500, 0.711, 0.250], [0.000, 0.500, 0.000], [0.000, 0.500, 0.500], [0.500, 0.000, 0.000], [0.500, 0.000, 0.500], [0.000, 0.069, 0.750], [0.000, 0.931, 0.250], [0.500, 0.431, 0.250], [0.500, 0.569, 0.750]]}

***

# 4
{"formula": "HfTi2Bi3", "functional": "GGA-PBE", "state": "optimized geometry", "delta_e_f_ev_per_fu": 0.572, "lattice": [[11.654, -1.608, 0.000], [11.654, 1.608, 0.000], [-0.530, 0.000, 8.584]], "species": ["Hf", "Hf", "Ti", "Ti", "Ti", "Ti", "Bi", "Bi", "Bi", "Bi", "Bi", "Bi"], "fractional_positions": [[0.150, 0.150, 0.086], [0.850, 0.850, 0.914], [0.208, 0.208, 0.432], [0.455, 0.455, 0.851], [0.545, 0.545, 0.149], [0.792, 0.792, 0.568], [0.086, 0.086, 0.415], [0.233, 0.233, 0.796], [0.422, 0.422, 0.171], [0.578, 0.578, 0.829], [0.767, 0.767, 0.204], [0.914, 0.914, 0.585]]}

***

# 5
{"formula": "Tb4HoTh", "functional": "GGA-PBE", "state": "optimized geometry", "delta_e_f_ev_per_fu": 4.307, "polymorph_energy_mev_per_atom": 693, "lattice": [[11.563, 0.000, 0.000], [0.000, 11.816, 0.000], [0.000, 0.000, 3.410]], "species": ["Tb", "Tb", "Tb", "Tb", "Tb", "Tb", "Tb", "Tb", "Ho", "Ho", "Th", "Th"], "fractional_positions": [[0.000, 0.232, 0.000], [0.000, 0.768, 0.000], [0.238, 0.500, 0.500], [0.262, 0.000, 0.500], [0.500, 0.268, 0.000], [0.500, 0.732, 0.000], [0.738, 0.000, 0.500], [0.762, 0.500, 0.500], [0.000, 0.000, 0.500], [0.500, 0.500, 0.500], [0.000, 0.500, 0.000], [0.500, 0.000, 0.000]]}

***

# 6
{"formula": "Cu2AgBr2", "functional": "GGA-PBE", "state": "optimized geometry", "polymorph_energy_mev_per_atom": 0, "formation_energy_uncorrected_ev_per_atom": 0.23, "lattice": [[7.137, 0.000, 0.000], [0.000, 7.137, 0.000], [0.000, 0.000, 3.768]], "species": ["Cu", "Cu", "Cu", "Cu", "Ag", "Ag", "Br", "Br", "Br", "Br"], "fractional_positions": [[0.126, 0.374, 0.000], [0.374, 0.874, 0.000], [0.626, 0.126, 0.000], [0.874, 0.626, 0.000], [0.000, 0.000, 0.000], [0.500, 0.500, 0.000], [0.188, 0.688, 0.500], [0.312, 0.188, 0.500], [0.688, 0.812, 0.500], [0.812, 0.312, 0.500]]}

***

# 7
{"formula": "LiPm2P3Rh4", "functional": "GGA-PBE", "state": "optimized geometry", "delta_e_f_ev_per_fu": -10.593, "lattice": [[4.068, 0.000, 0.000], [0.000, 4.068, 0.000], [0.000, 0.000, 9.867]], "species": ["Li", "Pm", "Pm", "P", "P", "P", "Rh", "Rh", "Rh", "Rh"], "fractional_positions": [[0.000, 0.000, 0.000], [0.000, 0.500, 0.754], [0.500, 0.000, 0.246], [0.000, 0.500, 0.361], [0.500, 0.000, 0.639], [0.500, 0.500, 0.000], [0.000, 0.000, 0.500], [0.000, 0.500, 0.127], [0.500, 0.000, 0.873], [0.500, 0.500, 0.500]]}

***

# 8
{"formula": "Hf2AlFe", "functional": "GGA-PBE", "state": "optimized geometry", "delta_e_f_ev_per_fu": -1.175, "lattice": [[3.227, 0.000, 0.000], [0.000, 3.227, 0.000], [0.000, 0.000, 6.681]], "species": ["Hf", "Hf", "Al", "Fe"], "fractional_positions": [[0.000, 0.000, 0.226], [0.000, 0.000, 0.774], [0.500, 0.500, 0.500], [0.500, 0.500, 0.000]]}

***

# 9
{"formula": "Tm5ThAu6", "functional": "GGA-PBE", "state": "optimized geometry", "delta_e_f_ev_per_fu": -9.853, "lattice": [[8.052, -3.553, 0.000], [8.052, 3.553, 0.000], [-1.603, 0.000, 4.832]], "species": ["Tm", "Tm", "Tm", "Tm", "Tm", "Th", "Au", "Au", "Au", "Au", "Au", "Au"], "fractional_positions": [[0.000, 0.000, 0.000], [0.168, 0.168, 0.668], [0.332, 0.332, 0.332], [0.668, 0.668, 0.668], [0.832, 0.832, 0.332], [0.500, 0.500, 0.000], [0.073, 0.587, 0.829], [0.233, 0.767, 0.500], [0.413, 0.927, 0.171], [0.587, 0.073, 0.829], [0.767, 0.233, 0.500], [0.927, 0.413, 0.171]]}

***

# 10
{"formula": "LiTe2HN", "functional": "GGA-PBE", "state": "optimized geometry", "polymorph_energy_mev_per_atom": 578, "lattice": [[5.008, 0.000, 0.000], [0.000, 5.008, 0.000], [0.000, 0.000, 3.408]], "species": ["Li", "Te", "Te", "H", "N"], "fractional_positions": [[0.000, 0.000, 0.000], [0.000, 0.500, 0.000], [0.500, 0.000, 0.000], [0.500, 0.500, 0.500], [0.000, 0.000, 0.500]]}

***

# 11
{"formula": "Sm2Ga3SnRh4", "functional": "GGA-PBE", "state": "optimized geometry", "delta_e_f_ev_per_fu": -7.721, "lattice": [[4.339, 0.000, 0.000], [0.000, 4.339, 0.000], [0.000, 0.000, 10.239]], "species": ["Sm", "Sm", "Ga", "Ga", "Ga", "Sn", "Rh", "Rh", "Rh", "Rh"], "fractional_positions": [[0.000, 0.500, 0.231], [0.500, 0.000, 0.769], [0.000, 0.500, 0.879], [0.500, 0.000, 0.121], [0.500, 0.500, 0.500], [0.000, 0.000, 0.500], [0.000, 0.000, 0.000], [0.000, 0.500, 0.640], [0.500, 0.000, 0.360], [0.500, 0.500, 0.000]]}

***

# 12
{"formula": "DyU2MoC4", "functional": "GGA-PBE", "state": "optimized geometry", "delta_e_f_ev_per_fu": -0.048, "lattice": [[1.804, -5.818, 0.000], [1.804, 5.818, 0.000], [0.000, 0.000, 11.343]], "species": ["Dy", "Dy", "U", "U", "U", "U", "Mo", "Mo", "C", "C", "C", "C", "C", "C", "C", "C"], "fractional_positions": [[0.132, 0.868, 0.750], [0.868, 0.132, 0.250], [0.373, 0.627, 0.543], [0.373, 0.627, 0.957], [0.627, 0.373, 0.043], [0.627, 0.373, 0.457], [0.131, 0.869, 0.250], [0.869, 0.131, 0.750], [0.000, 0.000, 0.000], [0.000, 0.000, 0.500], [0.256, 0.744, 0.118], [0.256, 0.744, 0.382], [0.460, 0.540, 0.750], [0.540, 0.460, 0.250], [0.744, 0.256, 0.618], [0.744, 0.256, 0.882]]}

***

# 13
{"formula": "Pa2BeGa3Pt4", "functional": "GGA-PBE", "state": "optimized geometry", "delta_e_f_ev_per_fu": -7.348, "lattice": [[4.097, 0.000, 0.000], [0.000, 4.097, 0.000], [0.000, 0.000, 10.657]], "species": ["Pa", "Pa", "Be", "Ga", "Ga", "Ga", "Pt", "Pt", "Pt", "Pt"], "fractional_positions": [[0.000, 0.500, 0.236], [0.500, 0.000, 0.764], [0.500, 0.500, 0.000], [0.000, 0.000, 0.000], [0.000, 0.500, 0.639], [0.500, 0.000, 0.361], [0.000, 0.000, 0.500], [0.000, 0.500, 0.869], [0.500, 0.000, 0.131], [0.500, 0.500, 0.500]]}

***

DOS at the Fermi energy across the listed records, respectively: 2.75 3.52 2.08 4.94 10.42 1.56 3.06 2.38 7.28 1.57 6.18 7.30 8.47 states/eV/f.u..